<one>
Here is a geometry-optimized Tm6FeHg2 structure from Alexandria via LeMat-Bulk. Energies are from PBE-GGA.

Cell lengths 5.0038, 6.9881, 8.3300 Å; angles 114.80, 107.48, 90.00 degrees
Fractional coordinates of all 9 atoms:
Tm (0.1534, 0.3937, 0.3068)
Tm (0.8466, 0.0868, 0.6932)
Tm (0.8466, 0.6063, 0.6932)
Tm (0.5000, 0.2252, 0.0000)
Tm (0.1534, 0.9132, 0.3068)
Tm (0.5000, 0.7748, 0.0000)
Fe (0.0000, 0.0000, 0.0000)
Hg (0.6660, 0.6661, 0.3321)
Hg (0.3340, 0.3339, 0.6679)

Values from the calculation:
**ρ**: 9.79 Mg/m³
**Space-group type**: Immm


<two>
Here is a geometry-optimized Tm6FeHg2 structure from Alexandria via LeMat-Bulk. Energies are from PBE-GGA.

Cell lengths 3.7602, 8.4013, 8.3482 Å; angles 120.21, 90.00, 90.00 degrees
Fractional coordinates of all 9 atoms:
Tm (0.5000, 0.5995, 0.0000)
Tm (0.5000, 0.3955, 0.3969)
Tm (0.5000, 0.9986, 0.6031)
Tm (0.0000, 0.2384, 0.0000)
Tm (0.0000, 0.7643, 0.7665)
Tm (0.0000, 0.9979, 0.2335)
Fe (0.5000, 0.0074, 0.0000)
Hg (0.0000, 0.3317, 0.6651)
Hg (0.0000, 0.6667, 0.3349)

Values from the calculation:
**ρ**: 10.72 Mg/m³
**Space-group type**: Amm2


<two> (174 meV per atom below the next structure)